CsCuHg: optimized geometry, GGA-PBE.

Results
As for the energy above the lowest structure with this stoichiometry: 0.000 eV/atom. Its calculated volume is 481.9 Å³ per cell.

Lattice parameters (Å, degrees): 7.840 7.840 7.840 90.00 90.00 90.00
Fractional coordinates of all 12 atoms:
Cs: 0.000 0.000 0.000
Cs: 0.000 0.500 0.500
Cs: 0.500 0.000 0.500
Cs: 0.500 0.500 0.000
Cu: 0.250 0.250 0.250
Cu: 0.250 0.750 0.750
Cu: 0.750 0.250 0.750
Cu: 0.750 0.750 0.250
Hg: 0.000 0.000 0.500
Hg: 0.000 0.500 0.000
Hg: 0.500 0.000 0.000
Hg: 0.500 0.500 0.500